# RbCoOs2O8 (PBE with a Hubbard U, optimized geometry)
# Spin magnetization = 0.0 μB per cell
# DFT total energy = -6.751 eV per atom
data_RbCoOs2O8
_symmetry_space_group_name_H-M 'C 1 2/m 1'
_symmetry_Int_Tables_number 12
_symmetry_space_group_name_Hall '-C 2y'
_cell_length_a 8.670
_cell_length_b 5.891
_cell_length_c 8.413
_cell_angle_alpha 90.00
_cell_angle_beta 96.83
_cell_angle_gamma 90.00
loop_
_atom_site_label
_atom_site_type_symbol
_atom_site_fract_x
_atom_site_fract_y
_atom_site_fract_z
Rb1 Rb 0.000 0.000 0.000
Co1 Co 0.000 0.000 0.500
Os1 Os 0.119 0.500 0.295
O1 O 0.010 0.245 0.317
O2 O 0.185 0.500 0.104
O3 O 0.230 0.000 0.540